Tl2AgSb at its PBEsol-relaxed geometry, computed with SCAN.

Summary:
Spin magnetization   0.0 μB per cell
Uncorrected formation energy   0.083 eV per atom

a = 3.2738 Å, b = 4.4430 Å, c = 7.1938 Å
α = 90.00°, β = 103.00°, γ = 90.00°
With the nearest neighbours (Å) after each atom.
Element x y z (fractional)
Tl 0.0000 0.0000 0.0000  4 Ag 3.05-3.06, 2 Tl 3.27
Tl 0.3527 0.5000 0.7017  6 Tl 3.27-3.46, 4 Sb 3.35-3.36, 1 Ag 3.40
Ag 0.5911 0.5000 0.1873  2 Sb 2.80, 4 Tl 3.05-3.06
Sb 0.7131 0.0000 0.4299  2 Ag 2.80

In3BPt at its PBEsol-relaxed geometry, computed with SCAN.

Summary:
Formation energy from the elements   67.1 kJ/mol of atoms
Spin magnetization   0.0 μB per cell

a = 5.0669 Å, b = 5.0669 Å, c = 5.0669 Å
α = 90.00°, β = 90.00°, γ = 90.00°
With the nearest neighbours (Å) after each atom.
Element x y z (fractional)
In 0.0000 0.0000 0.5000  2 Pt 2.53
In 0.0000 0.5000 0.0000  2 Pt 2.53
In 0.5000 0.0000 0.0000  2 Pt 2.53
B 0.5000 0.5000 0.5000  12 In 3.58
Pt 0.0000 0.0000 0.0000  6 In 2.53

YHgPb2 at its PBEsol-relaxed geometry, computed with SCAN.

Summary:
Formation energy from the elements   -33.0 kJ/mol of atoms
Spin magnetization   0.0 μB per cell

a = 3.8843 Å, b = 3.8843 Å, c = 6.9988 Å
α = 90.00°, β = 90.00°, γ = 90.00°
With the nearest neighbours (Å) after each atom.
Element x y z (fractional)
Y 0.0000 0.0000 0.0000  4 Hg 3.19, 5 Pb 3.32-3.33
Hg 0.5000 0.5000 0.2326  4 Y 3.19, 6 Pb 3.23-3.51
Pb 0.0000 0.0000 0.4759  4 Hg 3.23, 4 Pb 3.29, 1 Y 3.33
Pb 0.5000 0.5000 0.7347  4 Pb 3.29, 4 Y 3.32, 2 Hg 3.48-3.51

MgMn2Si at its PBEsol-relaxed geometry, computed with SCAN.

Summary:
Spin magnetization   10.4 μB per cell
Uncorrected formation energy   -0.140 eV per atom

a = 3.8734 Å, b = 3.8734 Å, c = 6.7752 Å
α = 90.00°, β = 90.00°, γ = 90.00°
With the nearest neighbours (Å) after each atom.
Element x y z (fractional)
Mg 0.0000 0.0000 0.0000  8 Mn 2.57, 4 Si 2.74
Mg 0.5000 0.5000 0.5000  8 Mn 2.57, 4 Si 2.74
Mn 0.0000 0.5000 0.2500  4 Mg 2.57, 4 Si 2.57, 4 Mn 2.74
Mn 0.0000 0.5000 0.7500  4 Mg 2.57, 4 Si 2.57, 4 Mn 2.74
Mn 0.5000 0.0000 0.2500  4 Mg 2.57, 4 Si 2.57, 4 Mn 2.74
Mn 0.5000 0.0000 0.7500  4 Mg 2.57, 4 Si 2.57, 4 Mn 2.74
Si 0.0000 0.0000 0.5000  8 Mn 2.57, 4 Mg 2.74
Si 0.5000 0.5000 0.0000  8 Mn 2.57, 4 Mg 2.74

Tl2ReTcO at its PBEsol-relaxed geometry, computed with SCAN.

Summary:
Spin magnetization   3.6 μB per cell
Uncorrected formation energy   0.682 eV per atom

a = 5.3830 Å, b = 5.3830 Å, c = 3.6249 Å
α = 90.00°, β = 90.00°, γ = 90.00°
With the nearest neighbours (Å) after each atom.
Element x y z (fractional)
Tl 0.0000 0.5000 0.0000  2 Re 2.69
Tl 0.5000 0.0000 0.0000  2 Re 2.69
Re 0.0000 0.0000 0.0000  2 O 1.81
Tc 0.5000 0.5000 0.5000  8 Tl 3.24, 2 Tc 3.62
O 0.0000 0.0000 0.5000  2 Re 1.81

BeFeAg at its PBEsol-relaxed geometry, computed with SCAN.

Summary:
Formation energy from the elements   11.8 kJ/mol of atoms
Spin magnetization   5.3 μB per cell

a = 2.6510 Å, b = 2.6510 Å, c = 10.0535 Å
α = 90.00°, β = 90.00°, γ = 90.00°
With the nearest neighbours (Å) after each atom.
Element x y z (fractional)
Be 0.0000 0.0000 0.0000  4 Fe 2.31, 4 Ag 2.50
Be 0.5000 0.5000 0.5000  4 Fe 2.31, 4 Ag 2.50
Fe 0.0000 0.0000 0.3657  4 Be 2.31
Fe 0.5000 0.5000 0.8657  4 Be 2.31
Ag 0.0000 0.0000 0.6649  4 Be 2.50, 4 Ag 2.65, 4 Fe 2.76
Ag 0.5000 0.5000 0.1649  4 Be 2.50, 4 Ag 2.65, 4 Fe 2.76

LiYCd at its PBEsol-relaxed geometry, computed with SCAN.

Summary:
Formation energy from the elements   -24.0 kJ/mol of atoms
Spin magnetization   0.0 μB per cell

a = 4.9043 Å, b = 4.9043 Å, c = 3.1987 Å
α = 90.00°, β = 90.00°, γ = 120.00°
With the nearest neighbours (Å) after each atom.
Element x y z (fractional)
Li 0.0000 0.0000 0.0000  3 Cd 2.83
Y 0.6667 0.3333 0.5000  2 Y 3.20, 6 Li 3.25, 6 Cd 3.25
Cd 0.3333 0.6667 0.0000  3 Li 2.83

LiTe3Pt at its PBEsol-relaxed geometry, computed with SCAN.

Summary:
Spin magnetization   0.0 μB per cell
Uncorrected formation energy   0.684 eV per atom

a = 4.8231 Å, b = 4.8231 Å, c = 4.8231 Å
α = 90.00°, β = 90.00°, γ = 90.00°
With the nearest neighbours (Å) after each atom.
Element x y z (fractional)
Li 0.0000 0.0000 0.0000  6 Te 2.41
Te 0.0000 0.0000 0.5000  2 Li 2.41
Te 0.0000 0.5000 0.0000  2 Li 2.41
Te 0.5000 0.0000 0.0000  2 Li 2.41
Pt 0.5000 0.5000 0.5000  12 Te 3.41

Y2HfSi2 at its PBEsol-relaxed geometry, computed with SCAN.

Summary:
Spin magnetization   0.0 μB per cell
Uncorrected formation energy   -0.706 eV per atom

a = 7.1603 Å, b = 7.1603 Å, c = 4.1089 Å
α = 90.00°, β = 90.00°, γ = 90.00°
With the nearest neighbours (Å) after each atom.
Element x y z (fractional)
Y 0.1751 0.3249 0.0000  6 Si 2.88-2.99
Y 0.3249 0.8249 0.0000  6 Si 2.88-2.99
Y 0.6751 0.1751 0.0000  6 Si 2.88-2.99
Y 0.8249 0.6751 0.0000  6 Si 2.88-2.99
Hf 0.0000 0.0000 0.5000  4 Si 2.83
Hf 0.5000 0.5000 0.5000  4 Si 2.83
Si 0.1250 0.6250 0.5000  1 Si 2.53, 2 Hf 2.83
Si 0.3750 0.1250 0.5000  1 Si 2.53, 2 Hf 2.83
Si 0.6250 0.8750 0.5000  1 Si 2.53, 2 Hf 2.83
Si 0.8750 0.3750 0.5000  1 Si 2.53, 2 Hf 2.83

MgAsN3 at its PBEsol-relaxed geometry, computed with SCAN.

Summary:
Spin magnetization   0.0 μB per cell
Uncorrected formation energy   0.938 eV per atom

a = 3.7434 Å, b = 3.7434 Å, c = 3.7434 Å
α = 90.00°, β = 90.00°, γ = 90.00°
With the nearest neighbours (Å) after each atom.
Element x y z (fractional)
Mg 0.0000 0.0000 0.0000  12 N 2.65
As 0.5000 0.5000 0.5000  6 N 1.87
N 0.0000 0.5000 0.5000  2 As 1.87
N 0.5000 0.0000 0.5000  2 As 1.87
N 0.5000 0.5000 0.0000  2 As 1.87

SrCaMg2 at its PBEsol-relaxed geometry, computed with SCAN.

Summary:
Formation energy from the elements   -2.3 kJ/mol of atoms
Spin magnetization   0.1 μB per cell

a = 12.6524 Å, b = 3.7391 Å, c = 5.9593 Å
α = 90.00°, β = 110.67°, γ = 90.00°
With the nearest neighbours (Å) after each atom.
Element x y z (fractional)
Sr 0.0000 0.0000 0.0000  7 Mg 3.54-3.65, 2 Sr 3.74, 2 Ca 3.85-3.87
Sr 0.5000 0.5000 0.0000  7 Mg 3.54-3.65, 2 Sr 3.74, 2 Ca 3.85-3.87
Ca 0.2074 0.0000 0.6529  7 Mg 3.51-3.68, 2 Ca 3.74, 2 Sr 3.85-3.87
Ca 0.7074 0.5000 0.6529  7 Mg 3.51-3.68, 2 Ca 3.74, 2 Sr 3.85-3.87
Mg 0.2564 0.5000 0.1930  2 Mg 3.11
Mg 0.4566 0.0000 0.4711  2 Mg 3.11
Mg 0.7564 0.0000 0.1930  2 Mg 3.11
Mg 0.9566 0.5000 0.4711  2 Mg 3.11

BaZnRu at its PBEsol-relaxed geometry, computed with SCAN.

Summary:
Formation energy from the elements   24.8 kJ/mol of atoms
Spin magnetization   0.0 μB per cell

a = 4.2454 Å, b = 4.2454 Å, c = 4.6880 Å
α = 90.00°, β = 90.00°, γ = 120.00°
With the nearest neighbours (Å) after each atom.
Element x y z (fractional)
Ba 0.0000 0.0000 0.0000  6 Ru 3.39, 6 Zn 3.39
Zn 0.6667 0.3333 0.5000  3 Ru 2.45
Ru 0.3333 0.6667 0.5000  3 Zn 2.45